Entry 1:
This record from the Alexandria database describes a relaxed structure of Ba2CuBr. The functional is PBEsol.

Unit cell a=5.6081 b=5.6081 c=5.6081 alpha=60.00 beta=60.00 gamma=60.00
Element x y z (fractional)
Ba (0.2500, 0.2500, 0.2500)
Ba (0.7500, 0.7500, 0.7500)
Cu (0.0000, 0.0000, 0.0000)
Br (0.5000, 0.5000, 0.5000)

For the polymorph energy (0 for the lowest one), the calculation gives 69.5 kJ/mol of formula units. The energy relative to the elements, uncorrected comes out at -0.56 eV per atom. The symmetry is Fm-3m. Its total DFT energy (no corrections) is -3.19 eV per atom.

Entry 2:
This record from the Alexandria database describes a relaxed structure of Ba2CuBr. The functional is PBEsol.

Unit cell a=8.7030 b=8.7030 c=8.7030 alpha=29.86 beta=29.86 gamma=29.86
Element x y z (fractional)
Ba (0.2403, 0.2403, 0.2403)
Ba (0.7597, 0.7597, 0.7597)
Cu (0.5000, 0.5000, 0.5000)
Br (0.0000, 0.0000, 0.0000)

For the polymorph energy (0 for the lowest one), the calculation gives 0.0 kJ/mol of formula units. The energy relative to the elements, uncorrected comes out at -0.74 eV per atom. The symmetry is R-3m. Its total DFT energy (no corrections) is -3.37 eV per atom.

Entry 3:
This record from the Alexandria database describes a relaxed structure of BaNaCuBrO2. The functional is PBEsol.

Unit cell a=3.9227 b=3.9227 c=7.1598 alpha=90.00 beta=90.00 gamma=90.00
Element x y z (fractional)
Ba (0.0000, 0.0000, 0.0000)
Na (0.0000, 0.0000, 0.5598)
Cu (0.5000, 0.5000, 0.7423)
Br (0.5000, 0.5000, 0.2830)
O (0.0000, 0.5000, 0.7609)
O (0.5000, 0.0000, 0.7609)

The energy relative to the elements, uncorrected comes out at -1.55 eV per atom. The symmetry is P4mm. Its total DFT energy (no corrections) is -4.93 eV per atom.

Entry 4:
This record from the Alexandria database describes a relaxed structure of Ba2Cu3Br2O4. The functional is PBEsol.

Unit cell a=8.3150 b=8.3150 c=8.3150 alpha=141.34 beta=141.34 gamma=55.82
Element x y z (fractional)
Ba (0.1318, 0.1318, 0.0000)
Ba (0.8682, 0.8682, 0.0000)
Cu (0.0000, 0.5000, 0.5000)
Cu (0.5000, 0.0000, 0.5000)
Cu (0.5000, 0.5000, 0.0000)
Br (0.2500, 0.7500, 0.5000)
Br (0.7500, 0.2500, 0.5000)
O (0.2568, 0.2568, 0.5136)
O (0.2568, 0.7432, 0.0000)
O (0.7432, 0.2568, 0.0000)
O (0.7432, 0.7432, 0.4864)

The energy relative to the elements, uncorrected comes out at -1.43 eV per atom. The symmetry is I4/mmm. Its total DFT energy (no corrections) is -5.25 eV per atom.

Entry 5:
This record from the Alexandria database describes a relaxed structure of Ba2CuS2Br2. The functional is PBEsol.

Unit cell a=9.3417 b=9.3417 c=9.3417 alpha=151.44 beta=151.44 gamma=40.84
Element x y z (fractional)
Ba (0.1228, 0.1228, 0.0000)
Ba (0.8772, 0.8772, 0.0000)
Cu (0.5000, 0.5000, 0.0000)
S (0.0000, 0.5000, 0.5000)
S (0.5000, 0.0000, 0.5000)
Br (0.3151, 0.3151, 0.0000)
Br (0.6849, 0.6849, 0.0000)

The energy relative to the elements, uncorrected comes out at -1.61 eV per atom. The symmetry is I4/mmm. Its total DFT energy (no corrections) is -4.63 eV per atom.

Entry 6:
This record from the Alexandria database describes a relaxed structure of Ba2IBrF2. The functional is PBEsol.

Unit cell a=4.5261 b=4.5261 c=7.8326 alpha=90.00 beta=90.00 gamma=90.00
Element x y z (fractional)
Ba (0.0000, 0.0000, 0.0000)
Ba (0.5000, 0.5000, 0.3589)
I (0.5000, 0.5000, 0.8104)
Br (0.0000, 0.0000, 0.5084)
F (0.0000, 0.5000, 0.1748)
F (0.5000, 0.0000, 0.1748)

The energy relative to the elements, uncorrected comes out at -2.99 eV per atom. The symmetry is P4mm. Its total DFT energy (no corrections) is -4.95 eV per atom.

Entry 7:
This record from the Alexandria database describes a relaxed structure of BaPb2BrF5. The functional is PBEsol.

Unit cell a=5.9006 b=5.9006 c=9.6248 alpha=90.00 beta=90.00 gamma=90.00
Element x y z (fractional)
Ba (0.2500, 0.7500, 0.0000)
Ba (0.7500, 0.2500, 0.0000)
Pb (0.2500, 0.2500, 0.2797)
Pb (0.2500, 0.2500, 0.6732)
Pb (0.7500, 0.7500, 0.3268)
Pb (0.7500, 0.7500, 0.7203)
Br (0.2500, 0.7500, 0.5000)
Br (0.7500, 0.2500, 0.5000)
F (0.0158, 0.0158, 0.8110)
F (0.0158, 0.4842, 0.8110)
F (0.2500, 0.2500, 0.0391)
F (0.4842, 0.0158, 0.8110)
F (0.4842, 0.4842, 0.8110)
F (0.5158, 0.5158, 0.1890)
F (0.5158, 0.9842, 0.1890)
F (0.7500, 0.7500, 0.9609)
F (0.9842, 0.5158, 0.1890)
F (0.9842, 0.9842, 0.1890)

The energy relative to the elements, uncorrected comes out at -2.64 eV per atom. The symmetry is P4/nmm. Its total DFT energy (no corrections) is -5.04 eV per atom.

Entry 8:
This record from the Alexandria database describes a relaxed structure of BaFe2Br. The functional is PBEsol.

Unit cell a=6.3589 b=6.3589 c=3.6436 alpha=106.33 beta=106.33 gamma=124.89
Element x y z (fractional)
Ba (0.0000, 0.0000, 0.0000)
Fe (0.0000, 0.5000, 0.5000)
Fe (0.5000, 0.0000, 0.5000)
Br (0.5000, 0.5000, 0.0000)

For the polymorph energy (0 for the lowest one), the calculation gives 95.5 kJ/mol of formula units. The energy relative to the elements, uncorrected comes out at 0.61 eV per atom. The symmetry is C2/m. Its total DFT energy (no corrections) is -4.88 eV per atom.